# 1
This record from the Alexandria database describes crystalline PmZnGa5Pd2 at its relaxed geometry. The functional is GGA-PBE.

Values from the calculation:
Calculated density = 6.7 Mg/m³
E_tot = -0.13863 Ha/atom
Energy of formation from the pure elements = -2.406 eV per formula unit
Total moment = 0.00 μB per cell

a b c (Å): 4.261 4.261 10.476
angles (deg): 90.00 90.00 90.00
Fractional coordinates of all 9 atoms:
Pm 0.000 0.000 0.000
Zn 0.000 0.000 0.500
Ga 0.000 0.500 0.348
Ga 0.000 0.500 0.652
Ga 0.500 0.000 0.348
Ga 0.500 0.000 0.652
Ga 0.500 0.500 0.000
Pd 0.500 0.500 0.225
Pd 0.500 0.500 0.775

# 2
This record from the Alexandria database describes crystalline LaSn2Ru2 at its relaxed geometry. The functional is GGA-PBE.

Values from the calculation:
Calculated density = 9.5 Mg/m³
E_tot = -0.24002 Ha/atom
Energy of formation from the pure elements = -1.172 eV per formula unit
Total moment = 0.00 μB per cell

a b c (Å): 7.918 7.918 3.230
angles (deg): 90.00 90.00 90.00
Fractional coordinates of all 10 atoms:
La 0.000 0.000 0.000
La 0.500 0.500 0.000
Sn 0.150 0.350 0.500
Sn 0.350 0.850 0.500
Sn 0.650 0.150 0.500
Sn 0.850 0.650 0.500
Ru 0.142 0.642 0.000
Ru 0.358 0.142 0.000
Ru 0.642 0.858 0.000
Ru 0.858 0.358 0.000

# 3
This record from the Alexandria database describes crystalline Er6PbSe3S2 at its relaxed geometry. The functional is GGA-PBE.

Values from the calculation:
Raw formation energy = -1.5494 eV per atom
Calculated density = 8.9 Mg/m³
E_tot = -0.20943 Ha/atom
Total moment = 0.00 μB per cell

a b c (Å): 9.090 9.090 8.182
angles (deg): 103.40 103.40 25.55
Fractional coordinates of all 12 atoms:
Er 0.009 0.009 0.267
Er 0.327 0.327 0.427
Er 0.327 0.327 0.890
Er 0.673 0.673 0.110
Er 0.673 0.673 0.573
Er 0.991 0.991 0.733
Pb 0.500 0.500 0.000
Se 0.163 0.163 0.833
Se 0.500 0.500 0.500
Se 0.837 0.837 0.167
S 0.169 0.169 0.340
S 0.831 0.831 0.660

# 4
This record from the Alexandria database describes crystalline AcCeNd at its relaxed geometry. The functional is GGA-PBE.

Values from the calculation:
Polymorph energy (0 for the lowest one) = 0.13 eV/f.u.
Calculated density = 7.7 Mg/m³
E_tot = -0.17571 Ha/atom
Energy of formation from the pure elements = 0.466 eV per formula unit
Total moment = 3.94 μB per cell

a b c (Å): 12.476 5.761 6.120
angles (deg): 90.00 90.00 90.00
Fractional coordinates of all 12 atoms:
Ac 0.249 0.250 0.012
Ac 0.251 0.750 0.512
Ac 0.749 0.250 0.488
Ac 0.751 0.750 0.988
Ce 0.052 0.750 0.938
Ce 0.448 0.250 0.438
Ce 0.552 0.750 0.562
Ce 0.948 0.250 0.062
Nd 0.068 0.250 0.559
Nd 0.432 0.750 0.059
Nd 0.568 0.250 0.941
Nd 0.932 0.750 0.441